# 1
CrAgSb2Os: relaxed, GGA-PBE.

Geometry as CIF:
```
data_CrAgSb2Os
_chemical_formula_sum 'Cr1 Ag1 Sb2 Os1'
_space_group_name_H-M_alt 'P 4/m m m'
_space_group_IT_number 123
_space_group_name_Hall '-P 4 2'
_cell_length_a 4.9358
_cell_length_b 4.9358
_cell_length_c 4.5725
_cell_angle_alpha 90.00
_cell_angle_beta 90.00
_cell_angle_gamma 90.00
loop_
_atom_site_label
_atom_site_fract_x
_atom_site_fract_y
_atom_site_fract_z
Cr1 0.0000 0.0000 0.0000
Ag1 0.5000 0.5000 0.5000
Sb1 0.0000 0.5000 0.0000
Os1 0.0000 0.0000 0.5000
```

## Properties
The uncorrected formation energy is 1.05 eV/atom. Its total energy is -5.337 eV per atom. The calculated volume comes out at 22.279 Å³/atom.

=====

# 2
CrAgTe2Os: relaxed, GGA-PBE.

Geometry as CIF:
```
data_CrAgTe2Os
_chemical_formula_sum 'Cr1 Ag1 Te2 Os1'
_space_group_name_H-M_alt 'P 4/m m m'
_space_group_IT_number 123
_space_group_name_Hall '-P 4 2'
_cell_length_a 5.2107
_cell_length_b 5.2107
_cell_length_c 4.9117
_cell_angle_alpha 90.00
_cell_angle_beta 90.00
_cell_angle_gamma 90.00
loop_
_atom_site_label
_atom_site_fract_x
_atom_site_fract_y
_atom_site_fract_z
Cr1 0.0000 0.0000 0.0000
Ag1 0.5000 0.5000 0.5000
Te1 0.0000 0.5000 0.5000
Os1 0.5000 0.5000 0.0000
```

## Properties
The uncorrected formation energy is 2.19 eV/atom. Its total energy is -3.808 eV per atom. The calculated volume comes out at 26.672 Å³/atom.

=====

# 3
CrAgOs2W: relaxed, GGA-PBE.

Geometry as CIF:
```
data_CrAgOs2W
_chemical_formula_sum 'Cr1 Ag1 Os2 W1'
_space_group_name_H-M_alt 'P 4/m m m'
_space_group_IT_number 123
_space_group_name_Hall '-P 4 2'
_cell_length_a 4.6941
_cell_length_b 4.6941
_cell_length_c 4.6654
_cell_angle_alpha 90.00
_cell_angle_beta 90.00
_cell_angle_gamma 90.00
loop_
_atom_site_label
_atom_site_fract_x
_atom_site_fract_y
_atom_site_fract_z
Cr1 0.0000 0.0000 0.0000
Ag1 0.5000 0.5000 0.5000
Os1 0.0000 0.5000 0.5000
W1 0.5000 0.5000 0.0000
```

## Properties
The formation energy from the elements comes out at 3.320 eV/atom. Its total energy is -6.257 eV per atom. The calculated volume comes out at 20.560 Å³/atom.

=====

# 4
Y2CrAgOs: relaxed, GGA-PBE.

Geometry as CIF:
```
data_Y2CrAgOs
_chemical_formula_sum 'Y2 Cr1 Ag1 Os1'
_space_group_name_H-M_alt 'P 4/m m m'
_space_group_IT_number 123
_space_group_name_Hall '-P 4 2'
_cell_length_a 5.3244
_cell_length_b 5.3244
_cell_length_c 4.6976
_cell_angle_alpha 90.00
_cell_angle_beta 90.00
_cell_angle_gamma 90.00
loop_
_atom_site_label
_atom_site_fract_x
_atom_site_fract_y
_atom_site_fract_z
Y1 0.0000 0.5000 0.0000
Cr1 0.0000 0.0000 0.5000
Ag1 0.0000 0.0000 0.0000
Os1 0.5000 0.5000 0.5000
```

## Properties
The formation energy from the elements comes out at 1.237 eV/atom. Its total energy is -6.089 eV per atom. The calculated volume comes out at 26.634 Å³/atom.

=====

# 5
YCr2AgOs: relaxed, GGA-PBE.

Geometry as CIF:
```
data_YCr2AgOs
_chemical_formula_sum 'Y1 Cr2 Ag1 Os1'
_space_group_name_H-M_alt 'P 4/m m m'
_space_group_IT_number 123
_space_group_name_Hall '-P 4 2'
_cell_length_a 4.7772
_cell_length_b 4.7772
_cell_length_c 5.2696
_cell_angle_alpha 90.00
_cell_angle_beta 90.00
_cell_angle_gamma 90.00
loop_
_atom_site_label
_atom_site_fract_x
_atom_site_fract_y
_atom_site_fract_z
Y1 0.0000 0.0000 0.0000
Cr1 0.0000 0.5000 0.5000
Ag1 0.0000 0.0000 0.5000
Os1 0.5000 0.5000 0.0000
```

## Properties
The formation energy from the elements comes out at 1.677 eV/atom. Its total energy is -6.281 eV per atom. The calculated volume comes out at 24.052 Å³/atom.

=====

# 6
CrAgP: relaxed, GGA-PBE.

Geometry as CIF:
```
data_CrAgP
_chemical_formula_sum 'Cr4 Ag4 P4'
_space_group_name_H-M_alt 'F -4 3 m'
_space_group_IT_number 216
_space_group_name_Hall 'F -4 2 3'
_cell_length_a 5.9538
_cell_length_b 5.9538
_cell_length_c 5.9538
_cell_angle_alpha 90.00
_cell_angle_beta 90.00
_cell_angle_gamma 90.00
loop_
_atom_site_label
_atom_site_fract_x
_atom_site_fract_y
_atom_site_fract_z
Cr1 0.0000 0.0000 0.0000
Ag1 0.0000 0.0000 0.5000
P1 0.2500 0.2500 0.2500
```

## Properties
The formation energy from the elements comes out at 0.139 eV/atom. The relative energy among the computed polymorphs is 266.0 meV per atom. Its total energy is -5.823 eV per atom. The calculated volume comes out at 17.587 Å³/atom.

=====

# 7
CrAg4P: relaxed, GGA-PBE.

Geometry as CIF:
```
data_CrAg4P
_chemical_formula_sum 'Cr4 Ag16 P4'
_space_group_name_H-M_alt 'F -4 3 m'
_space_group_IT_number 216
_space_group_name_Hall 'F -4 2 3'
_cell_length_a 7.6808
_cell_length_b 7.6808
_cell_length_c 7.6808
_cell_angle_alpha 90.00
_cell_angle_beta 90.00
_cell_angle_gamma 90.00
loop_
_atom_site_label
_atom_site_fract_x
_atom_site_fract_y
_atom_site_fract_z
Cr1 0.0000 0.0000 0.0000
Ag1 0.1253 0.1253 0.6253
P1 0.2500 0.2500 0.2500
```

## Properties
The formation energy from the elements comes out at 0.512 eV/atom. Its total energy is -3.895 eV per atom. The calculated volume comes out at 18.880 Å³/atom.

=====

# 8
CrAg3P: relaxed, GGA-PBE.

Geometry as CIF:
```
data_CrAg3P
_chemical_formula_sum 'Cr1 Ag3 P1'
_space_group_name_H-M_alt 'P m -3 m'
_space_group_IT_number 221
_space_group_name_Hall '-P 4 2 3'
_cell_length_a 4.9289
_cell_length_b 4.9289
_cell_length_c 4.9289
_cell_angle_alpha 90.00
_cell_angle_beta 90.00
_cell_angle_gamma 90.00
loop_
_atom_site_label
_atom_site_fract_x
_atom_site_fract_y
_atom_site_fract_z
Cr1 0.0000 0.0000 0.0000
Ag1 0.0000 0.0000 0.5000
P1 0.5000 0.5000 0.5000
```

## Properties
The formation energy from the elements comes out at 1.373 eV/atom. The relative energy among the computed polymorphs is 778.4 meV per atom. Its total energy is -3.344 eV per atom. The calculated volume comes out at 23.949 Å³/atom.

=====

# 9
CrAgP: relaxed, GGA-PBE.

Geometry as CIF:
```
data_CrAgP
_chemical_formula_sum 'Cr1 Ag1 P1'
_space_group_name_H-M_alt 'P 3 m 1'
_space_group_IT_number 156
_cell_length_a 3.9321
_cell_length_b 3.9321
_cell_length_c 3.6429
_cell_angle_alpha 90.00
_cell_angle_beta 90.00
_cell_angle_gamma 120.00
loop_
_space_group_symop_operation_xyz
'x,y,z'
'-y,x-y,z'
'-x+y,-x,z'
'-y,-x,z'
'-x+y,y,z'
'x,x-y,z'
loop_
_atom_site_label
_atom_site_fract_x
_atom_site_fract_y
_atom_site_fract_z
Cr1 0.0000 0.0000 0.0000
Ag1 0.3333 0.6667 0.5011
P1 0.6667 0.3333 0.0040
```

## Properties
The formation energy from the elements comes out at 0.214 eV/atom. The relative energy among the computed polymorphs is 340.8 meV per atom. Its total energy is -5.748 eV per atom. The calculated volume comes out at 16.260 Å³/atom.

=====

# 10
CrAgP: relaxed, GGA-PBE.

Geometry as CIF:
```
data_CrAgP
_chemical_formula_sum 'Cr2 Ag2 P2'
_space_group_name_H-M_alt 'P 4/n m m'
_space_group_IT_number 129
_cell_length_a 3.9558
_cell_length_b 3.9558
_cell_length_c 5.9549
_cell_angle_alpha 90.00
_cell_angle_beta 90.00
_cell_angle_gamma 90.00
loop_
_space_group_symop_operation_xyz
'x,y,z'
'-x,-y,-z'
'-y+1/2,x,z'
'y+1/2,-x,-z'
'-x+1/2,-y+1/2,z'
'x+1/2,y+1/2,-z'
'y,-x+1/2,z'
'-y,x+1/2,-z'
'x+1/2,-y,-z'
'-x+1/2,y,z'
'-y,-x,-z'
'y,x,z'
'-x,y+1/2,-z'
'x,-y+1/2,z'
'y+1/2,x+1/2,-z'
'-y+1/2,-x+1/2,z'
loop_
_atom_site_label
_atom_site_fract_x
_atom_site_fract_y
_atom_site_fract_z
Cr1 0.2500 0.7500 0.0000
Ag1 0.2500 0.2500 0.3689
P1 0.2500 0.2500 0.7918
```

## Properties
The formation energy from the elements comes out at -0.127 eV/atom. The relative energy among the computed polymorphs is 0.0 meV per atom. Its total energy is -6.089 eV per atom. The calculated volume comes out at 15.531 Å³/atom.

=====

# 11
CrAgP: relaxed, GGA-PBE.

Geometry as CIF:
```
data_CrAgP
_chemical_formula_sum 'Cr4 Ag4 P4'
_space_group_name_H-M_alt 'F m m 2'
_space_group_IT_number 42
_space_group_name_Hall 'F 2 -2'
_cell_length_a 3.2148
_cell_length_b 4.3713
_cell_length_c 13.0206
_cell_angle_alpha 90.00
_cell_angle_beta 90.00
_cell_angle_gamma 90.00
loop_
_atom_site_label
_atom_site_fract_x
_atom_site_fract_y
_atom_site_fract_z
Cr1 0.0000 0.0000 0.0000
Ag1 0.0000 0.0000 0.3243
P1 0.0000 0.0000 0.6215
```

## Properties
The formation energy from the elements comes out at 0.329 eV/atom. The relative energy among the computed polymorphs is 456.1 meV per atom. Its total energy is -5.632 eV per atom. The calculated volume comes out at 15.248 Å³/atom.

=====

# 12
CrAgP4: relaxed, GGA-PBE.

Geometry as CIF:
```
data_CrAgP4
_chemical_formula_sum 'Cr4 Ag4 P16'
_space_group_name_H-M_alt 'F -4 3 m'
_space_group_IT_number 216
_space_group_name_Hall 'F -4 2 3'
_cell_length_a 7.2786
_cell_length_b 7.2786
_cell_length_c 7.2786
_cell_angle_alpha 90.00
_cell_angle_beta 90.00
_cell_angle_gamma 90.00
loop_
_atom_site_label
_atom_site_fract_x
_atom_site_fract_y
_atom_site_fract_z
Cr1 0.0000 0.0000 0.0000
Ag1 0.2500 0.2500 0.2500
P1 0.1209 0.1209 0.6209
```

## Properties
The formation energy from the elements comes out at 0.629 eV/atom. Its total energy is -5.057 eV per atom. The calculated volume comes out at 16.067 Å³/atom.

=====

# 13
CrAg3P: relaxed, GGA-PBE.

Geometry as CIF:
```
data_CrAg3P
_chemical_formula_sum 'Cr1 Ag3 P1'
_space_group_name_H-M_alt 'P m -3 m'
_space_group_IT_number 221
_space_group_name_Hall '-P 4 2 3'
_cell_length_a 4.7345
_cell_length_b 4.7345
_cell_length_c 4.7345
_cell_angle_alpha 90.00
_cell_angle_beta 90.00
_cell_angle_gamma 90.00
loop_
_atom_site_label
_atom_site_fract_x
_atom_site_fract_y
_atom_site_fract_z
Cr1 0.0000 0.0000 0.0000
Ag1 0.0000 0.5000 0.5000
P1 0.5000 0.5000 0.5000
```

## Properties
The formation energy from the elements comes out at 0.595 eV/atom. The relative energy among the computed polymorphs is 0.0 meV per atom. Its total energy is -4.123 eV per atom. The calculated volume comes out at 21.225 Å³/atom.

=====

# 14
CrAgP3: relaxed, GGA-PBE.

Geometry as CIF:
```
data_CrAgP3
_chemical_formula_sum 'Cr1 Ag1 P3'
_space_group_name_H-M_alt 'P m -3 m'
_space_group_IT_number 221
_space_group_name_Hall '-P 4 2 3'
_cell_length_a 4.4661
_cell_length_b 4.4661
_cell_length_c 4.4661
_cell_angle_alpha 90.00
_cell_angle_beta 90.00
_cell_angle_gamma 90.00
loop_
_atom_site_label
_atom_site_fract_x
_atom_site_fract_y
_atom_site_fract_z
Cr1 0.0000 0.0000 0.0000
Ag1 0.5000 0.5000 0.5000
P1 0.0000 0.0000 0.5000
```

## Properties
The formation energy from the elements comes out at 0.514 eV/atom. The relative energy among the computed polymorphs is 0.0 meV per atom. Its total energy is -5.227 eV per atom. The calculated volume comes out at 17.817 Å³/atom.

=====

# 15
CrAgP: relaxed, GGA-PBE.

Geometry as CIF:
```
data_CrAgP
_chemical_formula_sum 'Cr2 Ag2 P2'
_space_group_name_H-M_alt 'I 4 m m'
_space_group_IT_number 107
_space_group_name_Hall 'I 4 -2'
_cell_length_a 3.0206
_cell_length_b 3.0206
_cell_length_c 10.0678
_cell_angle_alpha 90.00
_cell_angle_beta 90.00
_cell_angle_gamma 90.00
loop_
_atom_site_label
_atom_site_fract_x
_atom_site_fract_y
_atom_site_fract_z
Cr1 0.0000 0.0000 0.0000
Ag1 0.0000 0.0000 0.2966
P1 0.0000 0.0000 0.5914
```

## Properties
The formation energy from the elements comes out at 0.122 eV/atom. The relative energy among the computed polymorphs is 248.7 meV per atom. Its total energy is -5.840 eV per atom. The calculated volume comes out at 15.310 Å³/atom.